The following is a PBE calculation of a geometry-optimized CoAsCl2 structure, from the Alexandria database.

```
CoAsCl2
1.0
3.447 -0.045 0.000
-1.732 2.981 0.000
0.000 0.000 8.749
Cl Co As
2 1 1
Direct
0.500 0.500 0.348
0.000 0.000 0.932
0.000 0.000 0.523
0.500 0.500 0.698
```

DOS at the Fermi energy = 1.170 states/eV per atom
Magnetization = 1.48 Bohr magnetons per cell
E_form (uncorrected) = 0.19 eV per formula unit
SG = Cmm2


The following is a PBE calculation of a geometry-optimized CoAsCl2 structure, from the Alexandria database.

```
CoAsCl2
1.0
3.132 0.000 0.000
0.000 5.865 0.000
0.000 0.000 4.172
Co Cl As
1 2 1
Direct
0.500 0.000 0.500
0.500 0.500 0.000
0.000 0.000 0.000
0.000 0.500 0.500
```

DOS at the Fermi energy = 1.042 states/eV per atom
Magnetization = 2.45 Bohr magnetons per cell
E_form (uncorrected) = 1.58 eV per formula unit
SG = Pmmm


The following is a PBE calculation of a geometry-optimized CoAsCl2 structure, from the Alexandria database.

```
CoAsCl2
1.0
6.496 0.000 0.000
0.000 6.496 0.000
3.248 3.248 4.287
Cl Co As
4 2 2
Direct
0.375 0.452 0.750
0.875 0.798 0.750
0.548 0.125 0.250
0.202 0.625 0.250
0.250 0.750 0.500
0.500 0.500 0.000
0.000 0.000 0.000
0.750 0.250 0.500
```

DOS at the Fermi energy = 1.069 states/eV per atom
Magnetization = 3.69 Bohr magnetons per cell
E_form (uncorrected) = 1.54 eV per formula unit
SG = I-42d


The following is a PBE calculation of a geometry-optimized CoAsCl2 structure, from the Alexandria database.

```
CoAsCl2
1.0
3.858 0.000 0.000
0.000 4.432 -0.007
0.000 0.562 4.389
Cl As Co
2 1 1
Direct
0.000 0.026 0.026
0.000 0.474 0.474
0.500 0.750 0.750
0.500 0.250 0.250
```

DOS at the Fermi energy = 0.898 states/eV per atom
Magnetization = 1.95 Bohr magnetons per cell
E_form (uncorrected) = 1.07 eV per formula unit
SG = Cmmm


The following is a PBE calculation of a geometry-optimized Cs2CoAsCl6 structure, from the Alexandria database.

```
Cs2CoAsCl6
1.0
-7.088 -0.343 -1.350
-0.081 -6.887 2.177
-4.568 -2.092 5.194
Cs Cl Co As
2 6 1 1
Direct
0.250 0.750 0.500
0.750 0.250 0.500
0.253 0.747 0.000
0.747 0.747 0.000
0.747 0.253 0.000
0.254 0.254 0.492
0.746 0.746 0.508
0.253 0.253 0.000
0.500 0.500 0.000
0.000 0.000 0.000
```

DOS at the Fermi energy = 0.919 states/eV per atom
Magnetization = 2.01 Bohr magnetons per cell
E_form (uncorrected) = -10.55 eV per formula unit
SG = Fm-3m


The following is a PBE calculation of a geometry-optimized CsCoAsCl6 structure, from the Alexandria database.

```
CsCoAsCl6
1.0
-4.617 -3.393 -3.108
-4.021 -3.877 3.365
-4.984 6.013 0.885
Co Cs Cl As
1 1 6 1
Direct
0.665 0.668 0.500
0.001 0.000 0.000
0.992 0.624 0.682
0.379 0.992 0.679
0.629 0.991 0.319
0.379 0.629 0.321
0.992 0.384 0.318
0.629 0.380 0.681
0.333 0.334 0.500
```

DOS at the Fermi energy = 0.073 states/eV per atom
Magnetization = 3.00 Bohr magnetons per cell
E_form (uncorrected) = -8.34 eV per formula unit
SG = C2


The following is a PBE calculation of a geometry-optimized HfCoAsCl2 structure, from the Alexandria database.

```
HfCoAsCl2
1.0
4.991 0.000 0.000
0.000 4.406 0.000
0.000 0.000 4.991
Cl As Hf Co
2 1 1 1
Direct
0.500 0.000 0.000
0.000 0.000 0.500
0.000 0.000 0.000
0.500 0.500 0.500
0.000 0.500 0.000
```

DOS at the Fermi energy = 0.992 states/eV per atom
Magnetization = 0.00 Bohr magnetons per cell
E_form (uncorrected) = 3.85 eV per formula unit
SG = P4/mmm


The following is a PBE calculation of a geometry-optimized CoAs2ICl structure, from the Alexandria database.

```
CoAs2ICl
1.0
-2.653 -2.980 2.435
2.976 -5.486 -3.470
3.318 -0.275 3.280
Cl As I Co
1 2 1 1
Direct
0.000 0.000 0.000
0.500 0.000 0.000
0.000 0.000 0.500
0.000 0.500 0.000
0.500 0.500 0.500
```

DOS at the Fermi energy = 1.116 states/eV per atom
Magnetization = 2.87 Bohr magnetons per cell
E_form (uncorrected) = 6.61 eV per formula unit
SG = P4/mmm


The following is a PBE calculation of a geometry-optimized InCoAs2Cl structure, from the Alexandria database.

```
InCoAs2Cl
1.0
5.220 0.000 0.000
0.000 4.080 0.000
0.000 0.000 5.220
As In Co Cl
2 1 1 1
Direct
0.000 0.000 0.500
0.500 0.000 0.000
0.500 0.500 0.500
0.000 0.500 0.000
0.000 0.000 0.000
```

DOS at the Fermi energy = 0.726 states/eV per atom
Magnetization = 1.31 Bohr magnetons per cell
E_form (uncorrected) = 4.18 eV per formula unit
SG = P4/mmm


The following is a PBE calculation of a geometry-optimized In2CoAsCl structure, from the Alexandria database.

```
In2CoAsCl
1.0
-4.991 -0.605 0.996
1.118 -3.725 3.338
0.279 2.940 3.187
Co In Cl As
1 2 1 1
Direct
0.000 0.000 0.000
0.000 0.500 0.000
0.500 0.000 0.000
0.500 0.500 0.500
0.000 0.000 0.500
```

DOS at the Fermi energy = 0.708 states/eV per atom
Magnetization = 0.44 Bohr magnetons per cell
E_form (uncorrected) = -1.34 eV per formula unit
SG = P4/mmm


The following is a PBE calculation of a geometry-optimized KCoAsCl6 structure, from the Alexandria database.

```
KCoAsCl6
1.0
6.486 0.003 -0.005
3.245 5.616 0.004
-0.008 0.015 7.023
Cl As Co K
6 1 1 1
Direct
0.990 0.377 0.298
0.633 0.991 0.300
0.377 0.990 0.702
0.991 0.633 0.700
0.381 0.627 0.297
0.627 0.381 0.703
0.334 0.334 0.500
0.667 0.667 0.500
0.000 0.000 0.000
```

DOS at the Fermi energy = 0.096 states/eV per atom
Magnetization = 3.00 Bohr magnetons per cell
E_form (uncorrected) = -8.18 eV per formula unit
SG = C2


The following is a PBE calculation of a geometry-optimized La6Co2AsCl3 structure, from the Alexandria database.

```
La6Co2AsCl3
1.0
4.188 0.000 0.000
0.000 8.960 0.080
-2.094 -2.820 8.845
La Cl As Co
6 3 1 2
Direct
0.669 0.118 0.338
0.978 0.750 0.956
0.331 0.882 0.662
0.022 0.250 0.044
0.318 0.436 0.636
0.682 0.564 0.364
0.843 0.166 0.687
0.157 0.834 0.313
0.500 0.500 0.000
0.500 0.000 0.000
0.170 0.334 0.340
0.830 0.666 0.660
```

DOS at the Fermi energy = 0.701 states/eV per atom
Magnetization = 0.00 Bohr magnetons per cell
E_form (uncorrected) = -13.84 eV per formula unit
SG = C2/m


What did the sixth record say?
The following is a PBE calculation of a geometry-optimized CsCoAsCl6 structure, from the Alexandria database.

```
CsCoAsCl6
1.0
-4.617 -3.393 -3.108
-4.021 -3.877 3.365
-4.984 6.013 0.885
Co Cs Cl As
1 1 6 1
Direct
0.665 0.668 0.500
0.001 0.000 0.000
0.992 0.624 0.682
0.379 0.992 0.679
0.629 0.991 0.319
0.379 0.629 0.321
0.992 0.384 0.318
0.629 0.380 0.681
0.333 0.334 0.500
```

DOS at the Fermi energy = 0.073 states/eV per atom
Magnetization = 3.00 Bohr magnetons per cell
E_form (uncorrected) = -8.34 eV per formula unit
SG = C2